(1)
Material: Ba2ReCl
Method: DFT, PBE
State: relaxed

uncorrected energy = -4.5186 eV/atom
energy relative to the elements, uncorrected = 16 meV/atom
symmetry = No. 38

Cell and atoms, written as POSCAR:
```
Ba2ReCl
1.0
5.500 0.000 0.000
0.000 3.614 0.000
0.000 0.000 12.112
Ba Re Cl
4 2 2
direct
0.000 0.000 0.000
0.000 0.500 0.500
0.500 0.000 0.253
0.500 0.500 0.753
0.500 0.000 0.502
0.500 0.500 0.002
0.000 0.000 0.741
0.000 0.500 0.241
```

***

(2)
Material: Ba2ReCl
Method: DFT, PBE
State: relaxed

uncorrected energy = -4.2769 eV/atom
energy relative to the elements, uncorrected = 258 meV/atom
symmetry = No. 122

Cell and atoms, written as POSCAR:
```
Ba2ReCl
1.0
8.119 0.000 0.000
0.000 8.119 0.000
0.000 0.000 9.353
Ba Re Cl
8 4 4
direct
0.244 0.250 0.125
0.250 0.744 0.375
0.250 0.756 0.875
0.256 0.250 0.625
0.744 0.750 0.625
0.750 0.244 0.875
0.750 0.256 0.375
0.756 0.750 0.125
0.000 0.000 0.000
0.000 0.500 0.250
0.500 0.000 0.750
0.500 0.500 0.500
0.000 0.000 0.500
0.000 0.500 0.750
0.500 0.000 0.250
0.500 0.500 0.000
```

***

(3)
Material: BaReCl
Method: DFT, PBE
State: relaxed

uncorrected energy = -4.5345 eV/atom
energy relative to the elements, uncorrected = 871 meV/atom
symmetry = No. 156

Cell and atoms, written as POSCAR:
```
BaReCl
1.0
3.467 0.000 0.000
-1.734 3.003 0.000
0.000 0.000 7.217
Ba Re Cl
1 1 1
direct
0.000 0.000 0.000
0.667 0.333 0.644
0.333 0.667 0.359
```

***

> Among the records above, which one has the highest energy relative to the elements, uncorrected?

BaReCl

***

> Which value of energy relative to the elements, uncorrected does entry 3 give?

871 meV/atom